The following is a PBE+U calculation of a relaxed structure of V2BO2, from the Alexandria database.

Computed properties:
E_tot ... -65.40 eV per cell
D(E_F) ... 4.51 states/eV/cell
Theoretical density ... 4.59 g/cm3
Excess energy over the best structure of this formula in the dataset ... 196 meV per atom

abc: 6.0159 6.0159 2.8907
angles: 90.00 90.00 90.00
Atoms (fractional coordinates):
V 0.1846 0.3154 0.0000
V 0.3154 0.8154 0.0000
V 0.6846 0.1846 0.0000
V 0.8154 0.6846 0.0000
B 0.0000 0.0000 0.0000
B 0.5000 0.5000 0.0000
O 0.1429 0.6429 0.5000
O 0.3571 0.1429 0.5000
O 0.6429 0.8571 0.5000
O 0.8571 0.3571 0.5000